Entry 1:
# InCu2As PBE optimized geometry
data_InCu2As
_space_group_name_H-M_alt 'I -4 m 2'
_space_group_IT_number 119
_space_group_name_Hall 'I -4 -2'
_cell_length_a 3.951
_cell_length_b 3.951
_cell_length_c 8.575
_cell_angle_alpha 90.00
_cell_angle_beta 90.00
_cell_angle_gamma 90.00
loop_
_atom_site_label
_atom_site_type_symbol
_atom_site_fract_x
_atom_site_fract_y
_atom_site_fract_z
In1 In 0.000 0.000 0.000
Cu1 Cu 0.000 0.000 0.500
Cu2 Cu 0.000 0.500 0.250
As1 As 0.000 0.500 0.750
# E in eV/atom: -3.69

---

Entry 2:
# CePm3Pt8 PBE optimized geometry
data_CePm3Pt8
_space_group_name_H-M_alt 'P 3 m 1'
_space_group_IT_number 156
_cell_length_a 5.5035
_cell_length_b 5.5035
_cell_length_c 9.0305
_cell_angle_alpha 90.00
_cell_angle_beta 90.00
_cell_angle_gamma 120.00
loop_
_space_group_symop_operation_xyz
'x,y,z'
'-y,x-y,z'
'-x+y,-x,z'
'-y,-x,z'
'-x+y,y,z'
'x,x-y,z'
loop_
_atom_site_label
_atom_site_type_symbol
_atom_site_fract_x
_atom_site_fract_y
_atom_site_fract_z
Ce1 Ce 0.0000 0.0000 0.0000
Pm1 Pm 0.0000 0.0000 0.3738
Pm2 Pm 0.6667 0.3333 0.5033
Pm3 Pm 0.6667 0.3333 0.8729
Pt1 Pt 0.1652 0.3305 0.6886
Pt2 Pt 0.3333 0.6667 0.4370
Pt3 Pt 0.3333 0.6667 0.9385
Pt4 Pt 0.5017 0.0033 0.1871
# Polymorph energy (0 for the lowest one) in meV/atom: 58

---

Entry 3:
# Zr3SnSb PBE optimized geometry
data_Zr3SnSb
_space_group_name_H-M_alt 'P 1 21/c 1'
_space_group_IT_number 14
_cell_length_a 8.344
_cell_length_b 6.975
_cell_length_c 10.416
_cell_angle_alpha 90.00
_cell_angle_beta 127.60
_cell_angle_gamma 90.00
loop_
_space_group_symop_operation_xyz
'x,y,z'
'-x,-y,-z'
'-x,y+1/2,-z+1/2'
'x,-y+1/2,z+1/2'
loop_
_atom_site_label
_atom_site_type_symbol
_atom_site_fract_x
_atom_site_fract_y
_atom_site_fract_z
Zr1 Zr 0.053 0.129 0.256
Zr2 Zr 0.349 0.168 0.122
Zr3 Zr 0.372 0.668 0.965
Sn1 Sn 0.130 0.691 0.593
Sb1 Sb 0.305 0.056 0.809
# Polymorph energy (0 for the lowest one) in meV/atom: 0

---

Entry 4:
# Tb2Pr7Sm PBE optimized geometry
data_Tb2Pr7Sm
_space_group_name_H-M_alt 'C m m m'
_space_group_IT_number 65
_space_group_name_Hall '-C 2 2'
_cell_length_a 12.241
_cell_length_b 17.146
_cell_length_c 3.539
_cell_angle_alpha 90.00
_cell_angle_beta 90.00
_cell_angle_gamma 90.00
loop_
_atom_site_label
_atom_site_type_symbol
_atom_site_fract_x
_atom_site_fract_y
_atom_site_fract_z
Tb1 Tb 0.000 0.167 0.000
Pr1 Pr 0.000 0.322 0.500
Pr2 Pr 0.000 0.500 0.000
Pr3 Pr 0.245 0.370 0.000
Sm1 Sm 0.000 0.000 0.500
# Polymorph energy (0 for the lowest one) in meV/atom: 0

---

Entry 5:
# LiLa2TmSe4 PBE optimized geometry
data_LiLa2TmSe4
_space_group_name_H-M_alt 'P 1 2/m 1'
_space_group_IT_number 10
_cell_length_a 7.191
_cell_length_b 4.169
_cell_length_c 7.214
_cell_angle_alpha 90.00
_cell_angle_beta 109.46
_cell_angle_gamma 90.00
loop_
_space_group_symop_operation_xyz
'x,y,z'
'-x,-y,-z'
'-x,y,-z'
'x,-y,z'
loop_
_atom_site_label
_atom_site_type_symbol
_atom_site_fract_x
_atom_site_fract_y
_atom_site_fract_z
Li1 Li 0.000 0.000 0.000
La1 La 0.500 0.000 0.500
La2 La 0.500 0.500 0.000
Tm1 Tm 0.000 0.500 0.500
Se1 Se 0.225 0.000 0.745
Se2 Se 0.227 0.500 0.242
# E in eV/atom: -5.57

---

Entry 6:
# PmPuInIr PBE optimized geometry
data_PmPuInIr
_space_group_name_H-M_alt 'F -4 3 m'
_space_group_IT_number 216
_space_group_name_Hall 'F -4 2 3'
_cell_length_a 7.275
_cell_length_b 7.275
_cell_length_c 7.275
_cell_angle_alpha 90.00
_cell_angle_beta 90.00
_cell_angle_gamma 90.00
loop_
_atom_site_label
_atom_site_type_symbol
_atom_site_fract_x
_atom_site_fract_y
_atom_site_fract_z
Pm1 Pm 0.000 0.000 0.000
Pu1 Pu 0.000 0.000 0.500
In1 In 0.250 0.250 0.750
Ir1 Ir 0.250 0.250 0.250
# E in eV/atom: -7.94

---

Q: Which formula does entry 3 have?
A: Zr3SnSb

---

Repeat the first record exactly.
# InCu2As PBE optimized geometry
data_InCu2As
_space_group_name_H-M_alt 'I -4 m 2'
_space_group_IT_number 119
_space_group_name_Hall 'I -4 -2'
_cell_length_a 3.951
_cell_length_b 3.951
_cell_length_c 8.575
_cell_angle_alpha 90.00
_cell_angle_beta 90.00
_cell_angle_gamma 90.00
loop_
_atom_site_label
_atom_site_type_symbol
_atom_site_fract_x
_atom_site_fract_y
_atom_site_fract_z
In1 In 0.000 0.000 0.000
Cu1 Cu 0.000 0.000 0.500
Cu2 Cu 0.000 0.500 0.250
As1 As 0.000 0.500 0.750
# E in eV/atom: -3.69